(1)
An optimized crystal structure of LiTc2Pb, computed with PBE.

Unit cell a=4.801 b=3.087 c=4.801 alpha=92.84 beta=90.00 gamma=90.00
Fractional positions:
Pb: 0.500 0.750 0.750
Tc: 0.000 0.539 0.443
Tc: 0.000 0.961 0.057
Li: 0.500 0.250 0.250

E (eV/atom): -6.128

***

(2)
An optimized crystal structure of Y5Cd3, computed with PBE.

Unit cell a=9.218 b=9.218 c=9.230 alpha=95.84 beta=95.84 gamma=142.73
Fractional positions:
Cd: 0.250 0.250 0.000
Cd: 0.664 0.164 0.828
Cd: 0.164 0.337 0.500
Cd: 0.750 0.750 0.000
Cd: 0.337 0.837 0.173
Cd: 0.837 0.664 0.500
Y: 0.781 0.918 0.698
Y: 0.220 0.083 0.302
Y: 0.251 0.751 0.501
Y: 0.583 0.720 0.302
Y: 0.720 0.417 0.137
Y: 0.750 0.250 0.500
Y: 0.917 0.220 0.137
Y: 0.083 0.781 0.864
Y: 0.281 0.583 0.864
Y: 0.418 0.281 0.698

E above lowest polymorph (meV per atom): 46

***

(3)
An optimized crystal structure of Sr2VCl, computed with PBE.

Unit cell a=8.340 b=8.340 c=7.267 alpha=54.98 beta=54.98 gamma=90.00
Last column: magnetic moment on the atom in μB.
Fractional positions:
V: 0.750 0.250 0.500  3.18
V: 0.000 0.000 0.000  3.18
Sr: 0.375 0.414 0.750  0.11
Sr: 0.164 0.625 0.250  0.11
Sr: 0.875 0.836 0.750  0.11
Sr: 0.586 0.125 0.250  0.11
Cl: 0.500 0.500 0.000  0.03
Cl: 0.250 0.750 0.500  0.03

E above lowest polymorph (meV per atom): 0
Formation energy without anion corrections (kJ/mol of formula units): -38

***

Number 1: Fermi-level density of states 1.6 states/eV/cell. Number 2: Fermi-level density of states 25.3 states/eV/cell. Number 3: Fermi-level density of states 10.6 states/eV/cell.